Material: MgCo4Cu3O12
Method: DFT, PBE+U
State: optimized geometry

Results
**Calculated total energy**: -5.536 eV/atom
**Density**: 5.718 g/cm3
**Total magnetic moment**: 6.88 μB/cell
**DOS at the Fermi energy**: 6.17 states/eV per cell
**Space-group type**: No. 204

abc: 6.2355 6.2355 6.2355
angles: 109.47 109.47 109.47
Closest atoms and distances in Å follow each position.
Positions (direct):
Mg 0.0000 0.0000 0.0000  12 O 2.52
Co 0.0000 0.5000 0.0000  6 O 1.93
Co 0.5000 0.0000 0.0000  6 O 1.93
Co 0.5000 0.5000 0.5000  6 O 1.93
Co 0.0000 0.0000 0.5000  6 O 1.93
Cu 0.5000 0.0000 0.5000  4 O 1.87
Cu 0.5000 0.5000 0.0000  4 O 1.87
Cu 0.0000 0.5000 0.5000  4 O 1.87
O 0.3053 0.1331 0.8277  1 Cu 1.87, 2 Co 1.93
O 0.6947 0.8669 0.1723  1 Cu 1.87, 2 Co 1.93
O 0.6947 0.5224 0.8277  1 Cu 1.87, 2 Co 1.93
O 0.4776 0.1723 0.3053  1 Cu 1.87, 2 Co 1.93
O 0.1723 0.3053 0.4776  1 Cu 1.87, 2 Co 1.93
O 0.8277 0.3053 0.1331  1 Cu 1.87, 2 Co 1.93
O 0.8669 0.1723 0.6947  1 Cu 1.87, 2 Co 1.93
O 0.8277 0.6947 0.5224  1 Cu 1.87, 2 Co 1.93
O 0.3053 0.4776 0.1723  1 Cu 1.87, 2 Co 1.93
O 0.5224 0.8277 0.6947  1 Cu 1.87, 2 Co 1.93
O 0.1723 0.6947 0.8669  1 Cu 1.87, 2 Co 1.93
O 0.1331 0.8277 0.3053  1 Cu 1.87, 2 Co 1.93